First-principles (PBE) data for a relaxed structure of Ba2TcB, as listed in Alexandria.

POSCAR file:
```
Ba2TcB
1.0
-5.7708 5.7708 2.0618
5.7708 -5.7708 2.0618
5.7708 5.7708 -2.0618
Ba Tc B
4 2 2
direct
0.3750 0.0692 0.1942 Ba
0.8192 0.6250 0.6942 Ba
0.8750 0.1808 0.8058 Ba
0.9308 0.1250 0.3058 Ba
0.2500 0.7500 0.5000 Tc
0.5000 0.5000 0.0000 Tc
0.0000 0.0000 0.0000 B
0.7500 0.2500 0.5000 B
```

Computed properties:
ΔE_f: 0.5271 eV/atom
density of states at the Fermi level: 1.17 states/eV/atom
space group: I-42d, No. 122

***

First-principles (PBE) data for a relaxed structure of Sr2YPaO6, as listed in Alexandria.

POSCAR file:
```
Sr2YPaO6
1.0
6.0160 0.0000 0.0000
0.0000 6.1575 0.0000
-5.9986 0.0000 8.5955
Sr Y Pa O
4 2 2 12
direct
0.2370 0.0440 0.2490 Sr
0.2370 0.4560 0.7490 Sr
0.7630 0.5440 0.2510 Sr
0.7630 0.9560 0.7510 Sr
0.0000 0.0000 0.5000 Y
0.0000 0.5000 0.0000 Y
0.5000 0.0000 0.0000 Pa
0.5000 0.5000 0.5000 Pa
0.1551 0.1974 0.9472 O
0.1551 0.3026 0.4472 O
0.2456 0.7098 0.9425 O
0.2456 0.7902 0.4425 O
0.3587 0.0407 0.7558 O
0.3587 0.4593 0.2558 O
0.6413 0.5407 0.7442 O
0.6413 0.9593 0.2442 O
0.7544 0.2098 0.5575 O
0.7544 0.2902 0.0575 O
0.8449 0.6974 0.5528 O
0.8449 0.8026 0.0528 O
```

Computed properties:
density of states at the Fermi level: 0.00 states/eV/atom
E_form (uncorrected): -3377 meV per atom
space group: P2_1/c, No. 14

***

First-principles (PBE) data for a relaxed structure of Y2MgTe, as listed in Alexandria.

POSCAR file:
```
Y2MgTe
1.0
0.0000 3.7971 3.7971
3.7971 0.0000 3.7971
3.7971 3.7971 0.0000
Y Mg Te
2 1 1
direct
0.0000 0.0000 0.0000 Y
0.2500 0.2500 0.2500 Y
0.5000 0.5000 0.5000 Mg
0.7500 0.7500 0.7500 Te
```

Computed properties:
density of states at the Fermi level: 1.05 states/eV/atom
E_form (uncorrected): -57 meV per atom
space group: F-43m, No. 216
offset from the most stable computed form: 564.8 meV per atom

***

First-principles (PBE) data for a relaxed structure of CuBiPbCl6, as listed in Alexandria.

POSCAR file:
```
CuBiPbCl6
1.0
6.7966 0.0000 0.0000
-3.3983 5.8861 0.0000
0.0000 0.0000 12.7217
Cu Bi Pb Cl
2 2 2 12
direct
0.3333 0.6667 0.2500 Cu
0.6667 0.3333 0.7500 Cu
0.3333 0.6667 0.7500 Bi
0.6667 0.3333 0.2500 Bi
0.0000 0.0000 0.0000 Pb
0.0000 0.0000 0.5000 Pb
0.0209 0.3651 0.1336 Cl
0.0209 0.6558 0.3664 Cl
0.3442 0.3651 0.3664 Cl
0.3442 0.9791 0.1336 Cl
0.3651 0.0209 0.6336 Cl
0.3651 0.3442 0.8664 Cl
0.6349 0.6558 0.1336 Cl
0.6349 0.9791 0.3664 Cl
0.6558 0.0209 0.8664 Cl
0.6558 0.6349 0.6336 Cl
0.9791 0.3442 0.6336 Cl
0.9791 0.6349 0.8664 Cl
```

Computed properties:
E_form (uncorrected): -875 meV per atom
space group: P-31c, No. 163

***

First-principles (PBE) data for a relaxed structure of ZrCd2ReOs, as listed in Alexandria.

POSCAR file:
```
ZrCd2ReOs
1.0
5.0591 0.0000 0.0000
0.0000 5.0591 0.0000
0.0000 0.0000 4.6881
Zr Cd Re Os
1 2 1 1
direct
0.0000 0.0000 0.0000 Zr
0.0000 0.5000 0.5000 Cd
0.5000 0.0000 0.5000 Cd
0.5000 0.5000 0.5000 Re
0.5000 0.5000 0.0000 Os
```

Computed properties:
ΔE_f: 1.3363 eV/atom
density of states at the Fermi level: 1.20 states/eV/atom
space group: P4/mmm, No. 123

***

First-principles (PBE) data for a relaxed structure of Ba3ZnAs, as listed in Alexandria.

POSCAR file:
```
Ba3ZnAs
1.0
6.3727 0.0000 0.0000
0.0000 6.3727 0.0000
0.0000 0.0000 6.3727
Ba Zn As
3 1 1
direct
0.0000 0.0000 0.5000 Ba
0.0000 0.5000 0.0000 Ba
0.5000 0.0000 0.0000 Ba
0.5000 0.5000 0.5000 Zn
0.0000 0.0000 0.0000 As
```

Computed properties:
ΔE_f: -0.3519 eV/atom
density of states at the Fermi level: 1.31 states/eV/atom
space group: Pm-3m, No. 221
offset from the most stable computed form: 0.0 meV per atom

***

First-principles (PBE) data for a relaxed structure of NbCoOs2, as listed in Alexandria.

POSCAR file:
```
NbCoOs2
1.0
-1.9213 1.9213 8.6934
1.9213 -1.9213 8.6934
1.9213 1.9213 -8.6934
Nb Co Os
2 2 4
direct
0.0000 0.0000 0.0000 Nb
0.7500 0.2500 0.5000 Nb
0.2500 0.7500 0.5000 Co
0.5000 0.5000 0.0000 Co
0.1773 0.6250 0.0523 Os
0.3750 0.4273 0.5523 Os
0.5727 0.1250 0.9477 Os
0.8750 0.8227 0.4477 Os
```

Computed properties:
ΔE_f: 0.5471 eV/atom
density of states at the Fermi level: 0.90 states/eV/atom
space group: I-42d, No. 122
offset from the most stable computed form: 633.9 meV per atom

***

First-principles (PBE) data for a relaxed structure of HfZn2F, as listed in Alexandria.

POSCAR file:
```
HfZn2F
1.0
0.0000 3.2300 3.2300
3.2300 0.0000 3.2300
3.2300 3.2300 0.0000
Hf Zn F
1 2 1
direct
0.0000 0.0000 0.0000 Hf
0.2500 0.2500 0.2500 Zn
0.7500 0.7500 0.7500 Zn
0.5000 0.5000 0.5000 F
```

Computed properties:
density of states at the Fermi level: 0.76 states/eV/atom
E_form (uncorrected): -89 meV per atom
space group: Fm-3m, No. 225
offset from the most stable computed form: 486.8 meV per atom

***

Asked for VASP energy across the records above, the calculation gives -4.70, -8.28, -4.47, -3.40, -5.47, -2.69, -9.36, -3.68 eV/atom in order.
Asked for M_tot across the records above, the calculation gives 0.10, 0.00, 0.00, 0.11, 0.00, 0.00, 0.00, 0.00 μB per formula unit in order.
Asked for calculated volume across the records above, the calculation gives 34.331, 15.920, 27.372, 28.274, 23.998, 51.760, 16.045, 16.850 Å³/atom in order.